[1]
NaHg2Te, relaxed, DFT PBE-GGA; formation energy without anion corrections = 11 meV/atom; space-group type = R-3m; magnetic moment = 0.00 μB per formula unit; final energy = -1.256 eV per atom
1.0
-2.820 0.596 2.182
-3.237 -1.393 -0.807
0.446 -9.268 6.104
Na Hg Te
1 2 1
direct
0.000 0.000 0.000 Na
0.087 0.087 0.738 Hg
0.913 0.913 0.262 Hg
0.500 0.500 0.500 Te

---

[2]
Na2HgTe, relaxed, DFT PBE-GGA; formation energy without anion corrections = -444 meV/atom; space-group type = I-42d; magnetic moment = 0.00 μB per formula unit; final energy = -1.964 eV per atom; energy above the lowest structure with this stoichiometry = 212 meV/atom
1.0
6.054 0.000 0.000
0.000 6.054 0.000
3.027 3.027 9.033
Na Hg Te
4 2 2
direct
0.875 0.814 0.750 Na
0.186 0.625 0.250 Na
0.564 0.125 0.250 Na
0.375 0.436 0.750 Na
0.750 0.250 0.500 Hg
0.000 0.000 0.000 Hg
0.500 0.500 0.000 Te
0.250 0.750 0.500 Te

---

[3]
NaHg5Te4, relaxed, DFT PBE-GGA; formation energy without anion corrections = -155 meV/atom; space-group type = Pmmn; magnetic moment = 0.00 μB per formula unit; final energy = -1.694 eV per atom
1.0
-2.341 0.642 6.176
2.772 -8.600 1.944
9.942 3.963 3.356
Hg Na Te
10 2 8
direct
0.715 0.775 0.721 Hg
0.715 0.775 0.279 Hg
0.710 0.500 0.000 Hg
0.715 0.225 0.721 Hg
0.715 0.225 0.279 Hg
0.285 0.275 0.779 Hg
0.290 0.000 0.500 Hg
0.285 0.725 0.221 Hg
0.285 0.275 0.221 Hg
0.285 0.725 0.779 Hg
0.096 0.500 0.500 Na
0.904 0.000 0.000 Na
0.530 0.776 0.000 Te
0.970 0.500 0.226 Te
0.530 0.224 0.000 Te
0.030 0.000 0.274 Te
0.470 0.724 0.500 Te
0.970 0.500 0.774 Te
0.470 0.276 0.500 Te
0.030 0.000 0.726 Te

---

[4]
Na6HgTe4, relaxed, DFT PBE-GGA; formation energy without anion corrections = -755 meV/atom; space-group type = Imm2; magnetic moment = 0.00 μB per formula unit; final energy = -2.644 eV per atom
1.0
4.503 0.000 1.045
1.240 8.238 4.880
0.135 0.521 9.639
Te Na Hg
4 6 1
direct
0.752 0.016 0.479 Te
0.500 0.527 0.473 Te
0.000 0.022 0.978 Te
0.248 0.521 0.984 Te
0.124 0.168 0.584 Na
0.640 0.825 0.895 Na
0.688 0.393 0.230 Na
0.312 0.770 0.607 Na
0.876 0.416 0.832 Na
0.360 0.105 0.175 Na
0.000 0.719 0.281 Hg

---

Look up the formation energy without anion corrections of the first one. 11 meV/atom